Entry 1:
This record from the Alexandria database describes an optimized crystal structure of CePmSc. The functional is GGA-PBE.

a = 5.493 Å, b = 6.185 Å, c = 6.048 Å
α = 58.77°, β = 90.00°, γ = 90.00°
Site moments in Bohr magnetons follow the coordinates.
Fractional coordinates of all 6 atoms:
Pm  0.750  0.702  0.816  0.02
Pm  0.250  0.298  0.184  0.02
Sc  0.750  0.012  0.156  0.06
Sc  0.250  0.988  0.844  0.06
Ce  0.750  0.368  0.512  0.59
Ce  0.250  0.632  0.488  0.59

Values from the calculation:
- ΔH_f (0 K) (eV/atom) = 0.105
- density (Mg/m³) = 6.24
- size of the total moment (μB/cell) = 1.73
- energy relative to the lowest polymorph listed for this composition (eV/f.u.) = 0.042

***

Entry 2:
This record from the Alexandria database describes an optimized crystal structure of CePm2Sc. The functional is GGA-PBE.

a = 4.912 Å, b = 4.984 Å, c = 4.984 Å
α = 90.00°, β = 90.00°, γ = 90.00°
Site moments in Bohr magnetons follow the coordinates.
Fractional coordinates of all 4 atoms:
Sc  0.500  0.500  0.500  0.00
Ce  0.500  0.000  0.000  0.53
Pm  0.000  0.000  0.500  0.00
Pm  0.000  0.500  0.000  0.00

Values from the calculation:
- ΔH_f (0 K) (eV/atom) = 0.088
- density (Mg/m³) = 6.46
- size of the total moment (μB/cell) = 0.61
- energy relative to the lowest polymorph listed for this composition (eV/f.u.) = 0.010

***

Entry 3:
This record from the Alexandria database describes an optimized crystal structure of Ce2PmSc. The functional is GGA-PBE.

a = 3.294 Å, b = 3.294 Å, c = 12.189 Å
α = 82.23°, β = 82.23°, γ = 60.00°
Site moments in Bohr magnetons follow the coordinates.
Fractional coordinates of all 4 atoms:
Sc  0.500  0.500  0.500  -0.01
Ce  0.089  0.089  0.734  0.23
Ce  0.911  0.911  0.266  0.23
Pm  0.000  0.000  0.000  -0.02

Values from the calculation:
- ΔH_f (0 K) (eV/atom) = 0.211
- density (Mg/m³) = 6.90
- size of the total moment (μB/cell) = 0.50
- energy relative to the lowest polymorph listed for this composition (eV/f.u.) = 0.429

***

Entry 4:
This record from the Alexandria database describes an optimized crystal structure of Ce2PmSc. The functional is GGA-PBE.

a = 5.546 Å, b = 5.546 Å, c = 5.546 Å
α = 60.00°, β = 60.00°, γ = 60.00°
Site moments in Bohr magnetons follow the coordinates.
Fractional coordinates of all 4 atoms:
Sc  0.000  0.000  0.000  0.02
Ce  0.250  0.250  0.250  0.63
Ce  0.750  0.750  0.750  0.63
Pm  0.500  0.500  0.500  0.09

Values from the calculation:
- ΔH_f (0 K) (eV/atom) = 0.243
- density (Mg/m³) = 6.47
- size of the total moment (μB/cell) = 1.70
- energy relative to the lowest polymorph listed for this composition (eV/f.u.) = 0.560